Entry 1:
6
Lattice="4.153 0.000 0.000 0.000 3.571 0.000 0.000 0.000 8.036" Properties=species:S:1:pos:R:3 comment="ThZnCo, relaxed, DFT PBE-GGA" sg="Pmma, No. 51" pbc="T T T"
Th 1.038 0.000 1.562
Th 3.115 0.000 6.474
Zn 1.038 1.785 4.700
Zn 3.115 1.785 3.336
Co 1.038 1.785 7.160
Co 3.115 1.785 0.875

Entry 2:
18
Lattice="-4.543 4.828 5.259 4.543 -4.828 5.259 4.543 4.828 -5.259" Properties=species:S:1:pos:R:3 comment="Th6ZnCo2, relaxed, DFT PBE-GGA" sg="Immm, No. 71" pbc="T T T"
Th 4.543 2.946 -2.736
Th 2.664 1.748 0.000
Th 6.422 1.748 0.000
Th 1.770 4.828 -1.782
Th 2.774 0.000 3.478
Th 0.000 1.883 2.523
Th 4.543 2.946 2.736
Th 1.770 4.828 1.782
Th 2.774 0.000 7.041
Th -1.879 3.080 5.259
Th 1.879 3.080 5.259
Th 0.000 1.883 7.995
Zn 0.000 0.000 0.000
Zn 0.000 0.000 5.259
Co 4.543 0.000 1.355
Co 0.000 3.412 0.000
Co 0.000 6.244 0.000
Co 0.000 4.828 3.904

Entry 3:
5
Lattice="1.921 -7.088 0.000 1.921 7.088 0.000 0.000 0.000 3.732" Properties=species:S:1:pos:R:3 comment="Th2ZnCo2, relaxed, DFT PBE-GGA" sg="Cmmm, No. 65" pbc="T T T"
Th 1.921 5.106 0.000
Th 1.921 -5.106 0.000
Zn 1.921 0.000 1.866
Co 1.921 2.548 1.866
Co 1.921 -2.548 1.866

Entry 4:
19
Lattice="4.451 2.570 4.234 -4.451 2.570 4.234 0.000 -5.140 4.234" Properties=species:S:1:pos:R:3 comment="Th2Zn12Co5, relaxed, DFT PBE-GGA" sg="R-3m, No. 166" pbc="T T T"
Th 0.000 0.000 2.257
Th 0.000 0.000 10.446
Zn 0.000 -2.548 4.058
Zn -2.206 1.274 4.058
Zn -1.260 -2.183 6.352
Zn -2.521 0.000 6.352
Zn -2.206 -1.274 8.645
Zn 1.260 -2.183 6.352
Zn -1.260 2.183 6.352
Zn 2.206 1.274 4.058
Zn 2.521 0.000 6.352
Zn 1.260 2.183 6.352
Zn 2.206 -1.274 8.645
Zn 0.000 2.548 8.645
Co -2.225 -1.285 4.234
Co 0.000 0.000 5.015
Co -2.225 1.285 8.469
Co 0.000 2.570 4.234
Co 0.000 0.000 7.688

It is found that the uncorrected energy values, taken in the order of the records, are -5.56 -6.79 -6.38 -3.62 eV/atom.